1.
Entry from the Alexandria database: a relaxed CaAgSn2 crystal (GGA-PBE).

Calculated values
Magnetization, μB per cell: 0.00
Space-group type: No. 65
ΔE_f, eV/atom: -0.30

abc: 5.751 5.751 3.405
angles: 90.00 90.00 113.72
Positions (direct):
Ca: 0.000 0.000 0.000
Ag: 0.500 0.500 0.500
Sn: 0.000 0.500 0.500
Sn: 0.500 0.000 0.500



2.
Entry from the Alexandria database: a relaxed Ca2Ag3Sn crystal (GGA-PBE).

Calculated values
Magnetization, μB per cell: 0.00
Space-group type: No. 44
Distance to the lowest polymorph of the same formula, meV per atom: 70
ΔE_f, eV/atom: -0.28

abc: 9.256 9.256 9.256
angles: 155.99 150.95 38.03
Positions (direct):
Ca: 0.000 0.000 0.000
Ca: 0.755 0.255 0.500
Ag: 0.168 0.668 0.500
Ag: 0.323 0.823 0.500
Ag: 0.432 0.432 0.000
Sn: 0.590 0.590 0.000



3.
Entry from the Alexandria database: a relaxed CaAgSn crystal (GGA-PBE).

Calculated values
Magnetization, μB per cell: 0.00
Space-group type: No. 187
ΔE_f, eV/atom: -0.51

abc: 4.849 4.849 3.698
angles: 90.00 90.00 120.00
Positions (direct):
Ca: 0.000 0.000 0.000
Ag: 0.333 0.667 0.500
Sn: 0.667 0.333 0.500



4.
Entry from the Alexandria database: a relaxed Ca3Ag3Sn crystal (GGA-PBE).

Calculated values
Magnetization, μB per cell: 0.00
Space-group type: No. 12
ΔE_f, eV/atom: -0.36

abc: 6.122 6.122 15.296
angles: 107.27 107.27 43.99
Positions (direct):
Ca: 0.031 0.031 0.386
Ca: 0.108 0.108 0.924
Ca: 0.243 0.243 0.227
Ca: 0.757 0.757 0.773
Ca: 0.892 0.892 0.076
Ca: 0.969 0.969 0.614
Ag: 0.368 0.368 0.461
Ag: 0.389 0.389 0.925
Ag: 0.478 0.478 0.774
Ag: 0.522 0.522 0.226
Ag: 0.611 0.611 0.075
Ag: 0.632 0.632 0.539
Sn: 0.260 0.260 0.616
Sn: 0.740 0.740 0.384